The following is a DFT calculation (PBE) of TlPb2Cl after structural relaxation.

```
data_TlPb2Cl
_chemical_formula_sum 'Tl1 Pb2 Cl1'
_space_group_name_H-M_alt 'P 1'
_space_group_IT_number 1
_space_group_name_Hall 'P 1'
_cell_length_a 6.792
_cell_length_b 6.792
_cell_length_c 3.630
_cell_angle_alpha 75.00
_cell_angle_beta 75.00
_cell_angle_gamma 121.22
loop_
_atom_site_label
_atom_site_type_symbol
_atom_site_fract_x
_atom_site_fract_y
_atom_site_fract_z
Cl1 Cl 0.000 0.500 0.500
Pb1 Pb 0.000 0.000 0.000
Pb2 Pb 0.500 0.500 0.000
Tl1 Tl 0.500 0.000 0.500
```

Properties
ΔE to the lowest computed polymorph: 86 meV per atom
Electronic total energy: -12.6 eV/cell
Energy relative to the elements, uncorrected: -250.7 meV/atom
D(E_F): 1.4 states/eV/cell
M_tot: 0.00 μB per cell

The following is a DFT calculation (PBE) of TlPb2Cl after structural relaxation.

```
data_TlPb2Cl
_chemical_formula_sum 'Tl1 Pb2 Cl1'
_space_group_name_H-M_alt 'P 1'
_space_group_IT_number 1
_space_group_name_Hall 'P 1'
_cell_length_a 3.617
_cell_length_b 3.617
_cell_length_c 9.881
_cell_angle_alpha 90.00
_cell_angle_beta 90.00
_cell_angle_gamma 89.98
loop_
_atom_site_label
_atom_site_type_symbol
_atom_site_fract_x
_atom_site_fract_y
_atom_site_fract_z
Cl1 Cl 0.500 0.500 0.716
Pb1 Pb 0.000 0.000 0.001
Pb2 Pb 0.500 0.500 0.233
Tl1 Tl 0.000 0.000 0.549
```

Properties
ΔE to the lowest computed polymorph: 0 meV per atom
Electronic total energy: -13.0 eV/cell
Energy relative to the elements, uncorrected: -337.0 meV/atom
D(E_F): 1.6 states/eV/cell
M_tot: 0.00 μB per cell

The following is a DFT calculation (PBE) of TlPb2Cl after structural relaxation.

```
data_TlPb2Cl
_chemical_formula_sum 'Tl1 Pb2 Cl1'
_space_group_name_H-M_alt 'P 1'
_space_group_IT_number 1
_space_group_name_Hall 'P 1'
_cell_length_a 6.911
_cell_length_b 6.911
_cell_length_c 6.911
_cell_angle_alpha 150.43
_cell_angle_beta 132.14
_cell_angle_gamma 57.26
loop_
_atom_site_label
_atom_site_type_symbol
_atom_site_fract_x
_atom_site_fract_y
_atom_site_fract_z
Cl1 Cl 0.251 0.751 0.500
Pb1 Pb 0.995 0.995 0.000
Pb2 Pb 0.757 0.257 0.500
Tl1 Tl 0.497 0.497 0.000
```

Properties
ΔE to the lowest computed polymorph: 75 meV per atom
Electronic total energy: -12.7 eV/cell
Energy relative to the elements, uncorrected: -261.9 meV/atom
D(E_F): 1.2 states/eV/cell
M_tot: 0.00 μB per cell

The following is a DFT calculation (PBE) of TlPb2Cl after structural relaxation.

```
data_TlPb2Cl
_chemical_formula_sum 'Tl1 Pb2 Cl1'
_space_group_name_H-M_alt 'P 1'
_space_group_IT_number 1
_space_group_name_Hall 'P 1'
_cell_length_a 5.716
_cell_length_b 5.716
_cell_length_c 3.565
_cell_angle_alpha 90.00
_cell_angle_beta 90.00
_cell_angle_gamma 90.18
loop_
_atom_site_label
_atom_site_type_symbol
_atom_site_fract_x
_atom_site_fract_y
_atom_site_fract_z
Cl1 Cl 0.000 0.500 0.500
Pb1 Pb 0.000 0.000 0.000
Pb2 Pb 0.500 0.500 0.000
Tl1 Tl 0.500 0.000 0.500
```

Properties
ΔE to the lowest computed polymorph: 102 meV per atom
Electronic total energy: -12.6 eV/cell
Energy relative to the elements, uncorrected: -235.1 meV/atom
D(E_F): 1.4 states/eV/cell
M_tot: 0.00 μB per cell

- Which value of ΔE to the lowest computed polymorph does entry 3 give?
  75 meV per atom

Repeat the third record exactly.
The following is a DFT calculation (PBE) of TlPb2Cl after structural relaxation.

```
data_TlPb2Cl
_chemical_formula_sum 'Tl1 Pb2 Cl1'
_space_group_name_H-M_alt 'P 1'
_space_group_IT_number 1
_space_group_name_Hall 'P 1'
_cell_length_a 6.911
_cell_length_b 6.911
_cell_length_c 6.911
_cell_angle_alpha 150.43
_cell_angle_beta 132.14
_cell_angle_gamma 57.26
loop_
_atom_site_label
_atom_site_type_symbol
_atom_site_fract_x
_atom_site_fract_y
_atom_site_fract_z
Cl1 Cl 0.251 0.751 0.500
Pb1 Pb 0.995 0.995 0.000
Pb2 Pb 0.757 0.257 0.500
Tl1 Tl 0.497 0.497 0.000
```

Properties
ΔE to the lowest computed polymorph: 75 meV per atom
Electronic total energy: -12.7 eV/cell
Energy relative to the elements, uncorrected: -261.9 meV/atom
D(E_F): 1.2 states/eV/cell
M_tot: 0.00 μB per cell